# 1
A plane-wave DFT calculation with PBE-GGA was carried out for a relaxed PrEuCuIr crystal.

Results
E_tot	-117.1	eV/cell
total magnetization	1.75	μB/atom
energy of formation from the pure elements	-0.319	eV per atom

Cell: 7.130 7.130 7.130 Å, 90.00 90.00 90.00°
Fractional coordinates of all 16 atoms:
Pr: 0.000 0.000 0.000
Pr: 0.000 0.500 0.500
Pr: 0.500 0.000 0.500
Pr: 0.500 0.500 0.000
Eu: 0.000 0.000 0.500
Eu: 0.000 0.500 0.000
Eu: 0.500 0.000 0.000
Eu: 0.500 0.500 0.500
Cu: 0.250 0.250 0.250
Cu: 0.250 0.750 0.750
Cu: 0.750 0.250 0.750
Cu: 0.750 0.750 0.250
Ir: 0.250 0.250 0.750
Ir: 0.250 0.750 0.250
Ir: 0.750 0.250 0.250
Ir: 0.750 0.750 0.750

# 2
A plane-wave DFT calculation with PBE-GGA was carried out for a relaxed SmSb2Pd3 crystal.

Results
E_tot	-99.4	eV/cell
total magnetization	0.00	μB/atom
E_form (uncorrected)	-0.763	eV per atom

Cell: 9.042 9.042 10.400 Å, 106.73 106.73 27.70°
Fractional coordinates of all 18 atoms:
Sm: 0.000 0.000 0.000
Sm: 0.157 0.157 0.701
Sm: 0.843 0.843 0.299
Sb: 0.197 0.197 0.129
Sb: 0.361 0.361 0.546
Sb: 0.460 0.460 0.215
Sb: 0.540 0.540 0.785
Sb: 0.639 0.639 0.454
Sb: 0.803 0.803 0.871
Pd: 0.042 0.042 0.334
Pd: 0.215 0.215 0.390
Pd: 0.320 0.320 0.033
Pd: 0.385 0.385 0.812
Pd: 0.500 0.500 0.500
Pd: 0.615 0.615 0.188
Pd: 0.680 0.680 0.967
Pd: 0.785 0.785 0.610
Pd: 0.958 0.958 0.666

# 3
A plane-wave DFT calculation with PBE-GGA was carried out for a relaxed Mg2CdRe crystal.

Results
E_tot	-30.3	eV/cell
total magnetization	0.00	μB/atom
energy of formation from the pure elements	0.350	eV per atom

Cell: 3.328 4.596 9.676 Å, 90.00 90.00 90.00°
Fractional coordinates of all 8 atoms:
Mg: 0.000 0.000 0.000
Mg: 0.000 0.500 0.269
Mg: 0.500 0.000 0.269
Mg: 0.500 0.500 0.000
Cd: 0.000 0.000 0.530
Cd: 0.500 0.500 0.530
Re: 0.000 0.500 0.775
Re: 0.500 0.000 0.775

# 4
A plane-wave DFT calculation with PBE-GGA was carried out for a relaxed MgFe2Ni crystal.

Results
E_tot	-47.2	eV/cell
total magnetization	1.38	μB/atom
energy of formation from the pure elements	0.171	eV per atom

Cell: 5.093 7.774 2.599 Å, 90.00 90.00 90.00°
Fractional coordinates of all 8 atoms:
Mg: 0.000 0.000 0.000
Mg: 0.500 0.500 0.000
Fe: 0.250 0.250 0.500
Fe: 0.250 0.750 0.500
Fe: 0.750 0.250 0.500
Fe: 0.750 0.750 0.500
Ni: 0.000 0.500 0.000
Ni: 0.500 0.000 0.000

# 5
A plane-wave DFT calculation with PBE-GGA was carried out for a relaxed Tl2TcRh crystal.

Results
E_tot	-77.8	eV/cell
total magnetization	0.69	μB/atom
ΔE to the lowest computed polymorph	434.1	meV/atom
energy of formation from the pure elements	0.748	eV per atom

Cell: 6.797 6.797 6.797 Å, 90.00 90.00 90.00°
Fractional coordinates of all 16 atoms:
Tl: 0.000 0.000 0.000
Tl: 0.000 0.500 0.500
Tl: 0.250 0.250 0.250
Tl: 0.250 0.750 0.750
Tl: 0.500 0.000 0.500
Tl: 0.500 0.500 0.000
Tl: 0.750 0.250 0.750
Tl: 0.750 0.750 0.250
Tc: 0.250 0.250 0.750
Tc: 0.250 0.750 0.250
Tc: 0.750 0.250 0.250
Tc: 0.750 0.750 0.750
Rh: 0.000 0.000 0.500
Rh: 0.000 0.500 0.000
Rh: 0.500 0.000 0.000
Rh: 0.500 0.500 0.500

# 6
A plane-wave DFT calculation with PBE-GGA was carried out for a relaxed Th4Bi3Pd crystal.

Results
E_tot	-102.1	eV/cell
total magnetization	0.00	μB/atom
energy of formation from the pure elements	-0.568	eV per atom

Cell: 7.938 9.066 7.701 Å, 90.00 109.25 90.00°
Fractional coordinates of all 16 atoms:
Th: 0.218 0.110 0.007
Th: 0.218 0.890 0.507
Th: 0.236 0.360 0.484
Th: 0.236 0.640 0.984
Th: 0.764 0.360 0.016
Th: 0.764 0.640 0.516
Th: 0.782 0.110 0.493
Th: 0.782 0.890 0.993
Bi: 0.000 0.375 0.750
Bi: 0.000 0.625 0.250
Bi: 0.500 0.126 0.750
Bi: 0.500 0.379 0.250
Bi: 0.500 0.621 0.750
Bi: 0.500 0.874 0.250
Pd: 0.000 0.124 0.250
Pd: 0.000 0.876 0.750

# 7
A plane-wave DFT calculation with PBE-GGA was carried out for a relaxed BeTeOsI2 crystal.

Results
E_tot	-14.0	eV/cell
total magnetization	0.00	μB/atom
ΔE to the lowest computed polymorph	337.8	meV/atom
E_form (uncorrected)	1.437	eV per atom

Cell: 4.898 4.898 4.915 Å, 90.00 90.00 90.00°
Fractional coordinates of all 5 atoms:
Be: 0.000 0.000 0.000
Te: 0.000 0.000 0.500
Os: 0.500 0.500 0.500
I: 0.000 0.500 0.000
I: 0.500 0.000 0.000

# 8
A plane-wave DFT calculation with PBE-GGA was carried out for a relaxed RbTe2H crystal.

Results
E_tot	-43.7	eV/cell
total magnetization	0.00	μB/atom
ΔE to the lowest computed polymorph	247.5	meV/atom

Cell: 6.126 6.126 14.017 Å, 90.00 90.00 90.00°
Fractional coordinates of all 16 atoms:
Rb: 0.000 0.250 0.375
Rb: 0.000 0.750 0.625
Rb: 0.500 0.250 0.125
Rb: 0.500 0.750 0.875
Te: 0.000 0.000 0.000
Te: 0.000 0.500 0.000
Te: 0.250 0.250 0.750
Te: 0.250 0.750 0.250
Te: 0.500 0.000 0.500
Te: 0.500 0.500 0.500
Te: 0.750 0.250 0.750
Te: 0.750 0.750 0.250
H: 0.000 0.250 0.875
H: 0.000 0.750 0.125
H: 0.500 0.250 0.625
H: 0.500 0.750 0.375